Model P:
Entry from the Alexandria database: crystalline NdDy2Al2 at its relaxed geometry (PBE-GGA).

Values from the calculation:
Crystal system: monoclinic

Cell lengths 5.6322, 3.7493, 13.2878 Å; angles 90.00, 96.48, 90.00 degrees
Fractional positions:
Nd 0.1803 0.2500 0.2334
Nd 0.8197 0.7500 0.7666
Dy 0.2402 0.7500 0.4632
Dy 0.3499 0.2500 0.8899
Dy 0.6501 0.7500 0.1101
Dy 0.7598 0.2500 0.5368
Al 0.1445 0.7500 0.0375
Al 0.2933 0.2500 0.6577
Al 0.7067 0.7500 0.3423
Al 0.8555 0.2500 0.9625



Model Q:
Entry from the Alexandria database: crystalline NdDy2Al2 at its relaxed geometry (PBE-GGA).

Values from the calculation:
Crystal system: monoclinic

Cell lengths 3.6734, 5.2323, 13.6766 Å; angles 90.00, 97.73, 90.00 degrees
Fractional positions:
Nd 0.1428 0.2500 0.2883
Nd 0.8572 0.7500 0.7117
Dy 0.0471 0.7500 0.0944
Dy 0.2323 0.7500 0.4655
Dy 0.7677 0.2500 0.5345
Dy 0.9529 0.2500 0.9056
Al 0.3598 0.2500 0.7183
Al 0.4531 0.7500 0.9063
Al 0.5469 0.2500 0.0937
Al 0.6402 0.7500 0.2817



How do the structures above rank in stability at the extremes? model Q comes first and model P comes last.